Below is an optimized crystal structure of Mn2BeNi, with properties calculated at the PBE level.

abc: 2.4309 3.7056 4.5084
angles: 90.00 90.00 90.00
Last column: nearest neighbours and their distance in Å.
Space group Pmmm (No. 47)
Asymmetric unit:
Mn 0.0000 0.0000 0.2294 x2  1 Mn 2.07
Be 0.5000 0.5000 0.0000 x1  2 Ni 2.25, 2 Be 2.43, 8 Mn 2.45
Ni 0.5000 0.5000 0.5000 x1  2 Be 2.25, 2 Ni 2.43

Summary:
ΔE_f in eV per atom: 0.0036
Magnetization in μB/f.u.: 0.9